1.
LaSmLu2: relaxed, PBE.

```
LaSmLu2
1.0
-2.548 -3.096 0.785
1.423 -0.201 3.825
-5.473 5.089 2.303
La Lu Sm
1 2 1
direct
0.500 0.500 0.500
0.000 0.000 0.757
0.000 0.000 0.243
0.500 0.500 0.000
```

As for the volume: 32.6 A^3/atom. As for the formation energy: 0.0715 eV/atom. As for the polymorph energy (0 for the lowest one): 38 meV per atom. As for the density of states at the Fermi level: 5.81 states/eV/cell. As for the space group: P4/mmm.

---

2.
LaSmLu2: relaxed, PBE.

```
LaSmLu2
1.0
4.884 0.000 0.000
0.000 5.141 0.000
0.000 0.000 5.141
Lu La Sm
2 1 1
direct
0.000 0.000 0.500
0.000 0.500 0.000
0.500 0.000 0.000
0.500 0.500 0.500
```

As for the volume: 32.3 A^3/atom. As for the formation energy: 0.0331 eV/atom. As for the polymorph energy (0 for the lowest one): 0 meV per atom. As for the density of states at the Fermi level: 6.52 states/eV/cell. As for the space group: P4/mmm.

---

3.
LaSmLu2: relaxed, PBE.

```
LaSmLu2
1.0
5.702 0.000 0.000
2.851 4.938 0.000
2.851 1.646 4.656
Sm La Lu
1 1 2
direct
0.500 0.500 0.500
0.000 0.000 0.000
0.250 0.250 0.250
0.750 0.750 0.750
```

As for the volume: 32.8 A^3/atom. As for the formation energy: 0.0739 eV/atom. As for the polymorph energy (0 for the lowest one): 41 meV per atom. As for the density of states at the Fermi level: 6.07 states/eV/cell. As for the space group: Fm-3m.

---

4.
LaSm2Lu: relaxed, PBE.

```
LaSm2Lu
1.0
-1.161 -0.441 -3.399
-1.795 -2.979 1.000
-8.266 5.681 2.086
Sm Lu La
2 1 1
direct
0.000 0.000 0.759
0.000 0.000 0.241
0.500 0.500 0.000
0.500 0.500 0.500
```

As for the volume: 33.5 A^3/atom. As for the formation energy: 0.0319 eV/atom. As for the polymorph energy (0 for the lowest one): 9 meV per atom. As for the density of states at the Fermi level: 6.87 states/eV/cell. As for the space group: P4/mmm.

---

5.
LaSm2Lu: relaxed, PBE.

```
LaSm2Lu
1.0
-3.474 4.510 -0.941
-2.758 2.488 4.416
1.559 5.263 1.779
La Sm Lu
1 2 1
direct
0.500 0.500 0.500
0.250 0.250 0.250
0.750 0.750 0.750
0.000 0.000 0.000
```

As for the volume: 34.0 A^3/atom. As for the formation energy: 0.1571 eV/atom. As for the polymorph energy (0 for the lowest one): 134 meV per atom. As for the density of states at the Fermi level: 10.02 states/eV/cell. As for the space group: Fm-3m.

---

6.
LaTbSmLu: relaxed, PBE.

```
LaTbSmLu
1.0
-0.201 3.254 4.728
0.117 -2.462 5.187
4.654 0.526 3.324
Lu La Sm Tb
1 1 1 1
direct
0.500 0.500 0.500
0.250 0.250 0.250
0.750 0.750 0.750
0.000 0.000 0.000
```

As for the volume: 33.5 A^3/atom. As for the formation energy: 0.0986 eV/atom. As for the density of states at the Fermi level: 6.85 states/eV/cell. As for the space group: F-43m.

---

7.
LaSmLuTh: relaxed, PBE.

```
LaSmLuTh
1.0
-1.971 1.480 5.168
-4.404 -2.841 2.305
0.854 -3.453 4.486
Sm La Th Lu
1 1 1 1
direct
0.500 0.500 0.500
0.250 0.250 0.250
0.750 0.750 0.750
0.000 0.000 0.000
```

As for the volume: 33.2 A^3/atom. As for the formation energy: 0.1315 eV/atom. As for the density of states at the Fermi level: 6.77 states/eV/cell. As for the space group: F-43m.

---

8.
LaSmTmLu: relaxed, PBE.

```
LaSmTmLu
1.0
5.714 0.000 0.000
2.857 4.948 0.000
2.857 1.649 4.665
Tm Lu Sm La
1 1 1 1
direct
0.500 0.500 0.500
0.000 0.000 0.000
0.750 0.750 0.750
0.250 0.250 0.250
```

As for the volume: 33.0 A^3/atom. As for the formation energy: 0.0811 eV/atom. As for the density of states at the Fermi level: 6.38 states/eV/cell. As for the space group: F-43m.